4
Lattice="1.814 1.047 9.434 -1.814 1.047 9.434 0.000 -2.094 9.434" Properties=species:S:1:pos:R:3 comment="GGA-PBE Eu2CdO, relaxed" rho_g_cm3=6.7 m_tot_mub_per_cell=15.07 formation_energy_uncorrected_mev_per_atom=-1217.2 dft_energy_ev_per_atom=-7.8227 pbc="T T T"
Eu 0.000 0.000 3.313
Eu 0.000 0.000 24.987
Cd 0.000 0.000 0.000
O 0.000 0.000 14.150